(P)
! Sm2Dy2Th GGA-PBE optimized geometry; values from VASP
&SYSTEM
  ibrav = 0, nat = 5, ntyp = 3
/
ATOMIC_SPECIES
Sm 150.36 Sm.upf
Th 232.04 Th.upf
Dy 162.50 Dy.upf
CELL_PARAMETERS angstrom
3.5278 0.0000 0.0000
0.0000 5.3942 -0.1050
0.0000 -2.5411 8.5638
ATOMIC_POSITIONS angstrom
Sm 0.0000 0.0617 3.3687
Sm 0.0000 2.7914 5.0902
Th 0.0000 0.0000 0.0000
Dy 1.7639 2.7304 1.7088
Dy 1.7639 0.1227 6.7500
! N(E_F) ... 1.28 states/eV per atom
! Calculated volume ... 32.4 Å³/atom
! Magnetic moment ... 0.000 μB/cell

---

(Q)
! Sm2Dy2Th GGA-PBE optimized geometry; values from VASP
&SYSTEM
  ibrav = 0, nat = 10, ntyp = 3
/
ATOMIC_SPECIES
Dy 162.50 Dy.upf
Th 232.04 Th.upf
Sm 150.36 Sm.upf
CELL_PARAMETERS angstrom
-6.3686 5.5424 0.0276
-6.2929 -0.8072 1.3141
-1.8017 4.3887 7.7699
ATOMIC_POSITIONS angstrom
Dy -5.4963 5.9325 3.1862
Dy -4.0043 3.8354 0.9820
Dy -2.6740 3.9986 4.6113
Dy -4.1660 6.0957 6.8155
Th -5.2482 0.3953 0.8772
Th -7.4132 4.3399 0.4645
Sm -5.4277 2.6479 6.2861
Sm -9.0355 6.4760 2.8256
Sm -7.7134 6.4535 5.9240
Sm -6.7497 2.6705 3.1877
! N(E_F) ... 1.48 states/eV per atom
! Calculated volume ... 33.4 Å³/atom
! Magnetic moment ... 0.000 μB/cell

---

Most stable: (P)

---

(P)
! Sm4Dy5Th GGA-PBE optimized geometry; values from VASP
&SYSTEM
  ibrav = 0, nat = 10, ntyp = 3
/
ATOMIC_SPECIES
Th 232.04 Th.upf
Dy 162.50 Dy.upf
Sm 150.36 Sm.upf
CELL_PARAMETERS angstrom
-1.7321 -5.5874 1.9754
4.7302 -2.8097 5.8492
-5.2603 0.3606 6.0565
ATOMIC_POSITIONS angstrom
Th -0.3922 -1.2650 0.4472
Dy -1.2055 -3.8888 1.3749
Dy -3.2960 -4.1283 3.7863
Dy 2.7095 -2.5285 3.9279
Dy 1.2035 -3.3611 9.9014
Dy -4.8020 -4.9608 9.7598
Sm 0.7649 -4.2891 6.7935
Sm -0.3911 -1.4878 4.0543
Sm -2.8397 -3.1432 6.8740
Sm -1.6838 -5.9445 9.6132
! N(E_F) ... 1.46 states/eV per atom
! Calculated volume ... 33.9 Å³/atom
! Magnetic moment ... 0.000 μB/cell

---

(Q)
! Sm4Dy5Th GGA-PBE optimized geometry; values from VASP
&SYSTEM
  ibrav = 0, nat = 10, ntyp = 3
/
ATOMIC_SPECIES
Sm 150.36 Sm.upf
Dy 162.50 Dy.upf
Th 232.04 Th.upf
CELL_PARAMETERS angstrom
-1.7070 -0.2893 -3.1533
-6.0694 -1.5581 3.4285
-0.5640 12.8228 1.1808
ATOMIC_POSITIONS angstrom
Sm -2.0799 2.0160 0.9410
Sm -6.2605 8.9594 0.5150
Sm -6.3023 6.1885 2.8438
Sm -2.0381 4.7868 -1.3879
Dy -5.0649 3.9935 0.3234
Dy -3.1919 9.7532 -1.2189
Dy -5.1485 1.2222 2.6749
Dy -3.8882 -0.9237 0.1376
Dy -3.2755 6.9818 1.1326
Th -0.8535 -0.1447 -1.5766
! N(E_F) ... 1.27 states/eV per atom
! Calculated volume ... 32.5 Å³/atom
! Magnetic moment ... 0.000 μB/cell

---

Most stable: (Q)

---

(P)
! Sm6Dy12Th GGA-PBE optimized geometry; values from VASP
&SYSTEM
  ibrav = 0, nat = 19, ntyp = 3
/
ATOMIC_SPECIES
Sm 150.36 Sm.upf
Dy 162.50 Dy.upf
Th 232.04 Th.upf
CELL_PARAMETERS angstrom
9.1025 -1.3650 -2.2072
-2.4609 8.8693 -2.2072
-1.2081 -1.3650 9.2881
ATOMIC_POSITIONS angstrom
Sm 4.7284 0.1845 4.2411
Sm 1.2599 1.4235 5.7221
Sm 0.7052 5.9547 0.6325
Sm 5.8249 1.4235 0.6325
Sm -0.3913 4.7158 4.2411
Sm 4.1737 4.7158 -0.8485
Dy 2.2239 7.0965 -2.0863
Dy 2.2856 2.5825 -0.0664
Dy 7.2667 -0.9573 2.4368
Dy 6.7737 3.0696 -2.0863
Dy 3.2097 -0.9573 6.9599
Dy -1.8331 7.0965 2.4368
Dy 3.1480 3.5568 4.9400
Dy 5.2520 3.5568 2.5942
Dy 2.5413 0.4940 2.2794
Dy -1.3402 3.0696 6.9599
Dy 0.1816 2.5825 2.2794
Dy 2.8923 5.6452 2.5942
Th 0.0000 0.0000 0.0000
! N(E_F) ... 1.51 states/eV per atom
! Calculated volume ... 34.6 Å³/atom
! Magnetic moment ... 0.000 μB/cell

---

(Q)
! Sm6Dy12Th GGA-PBE optimized geometry; values from VASP
&SYSTEM
  ibrav = 0, nat = 19, ntyp = 3
/
ATOMIC_SPECIES
Dy 162.50 Dy.upf
Sm 150.36 Sm.upf
Th 232.04 Th.upf
CELL_PARAMETERS angstrom
8.4944 0.6842 0.8197
-0.6115 8.4999 0.8197
-0.6115 -0.7124 8.5096
ATOMIC_POSITIONS angstrom
Dy 4.3361 1.9748 4.5521
Dy 1.5562 3.0962 0.5512
Dy 2.9353 6.4969 5.5968
Dy 3.4209 4.9115 2.7564
Dy 5.9768 4.8123 4.8239
Dy 5.7152 5.3755 9.5978
Dy 3.8505 3.5602 7.3925
Dy 7.5182 6.9352 7.0041
Dy -0.2468 1.5366 3.1448
Dy 1.2946 3.6595 5.3250
Dy 2.8245 0.1835 2.0738
Dy 4.4470 8.2882 8.0751
Sm 1.6259 5.8896 8.6196
Sm 0.1754 5.7384 2.8138
Sm 5.5750 8.0341 4.0001
Sm 7.0961 2.7333 7.3351
Sm 1.6964 0.4376 6.1489
Sm 5.6455 2.5821 1.5293
Th 0.0000 0.0000 0.0000
! N(E_F) ... 1.61 states/eV per atom
! Calculated volume ... 33.0 Å³/atom
! Magnetic moment ... 0.000 μB/cell

---

Most stable: (Q)

---

(P)
! Sm5Dy4Th GGA-PBE optimized geometry; values from VASP
&SYSTEM
  ibrav = 0, nat = 10, ntyp = 3
/
ATOMIC_SPECIES
Sm 150.36 Sm.upf
Dy 162.50 Dy.upf
Th 232.04 Th.upf
CELL_PARAMETERS angstrom
3.4530 0.0000 -0.8042
-1.4980 9.4277 -6.4315
0.9132 -2.5717 11.7358
ATOMIC_POSITIONS angstrom
Sm 3.0599 0.3043 5.3230
Sm 0.6316 1.7329 2.7116
Sm 0.9775 4.7139 -3.6179
Sm -0.1917 6.5517 -0.8229
Sm 2.2367 5.1231 1.7885
Dy 1.9522 -1.2009 8.3820
Dy -0.1150 3.0526 -0.4938
Dy 0.9160 8.0569 -3.8818
Dy 2.9833 3.8034 4.9939
Th 1.7265 0.0000 -0.4021
! N(E_F) ... 1.46 states/eV per atom
! Calculated volume ... 32.9 Å³/atom
! Magnetic moment ... 0.000 μB/cell

---

(Q)
! Sm5Dy4Th GGA-PBE optimized geometry; values from VASP
&SYSTEM
  ibrav = 0, nat = 10, ntyp = 3
/
ATOMIC_SPECIES
Th 232.04 Th.upf
Sm 150.36 Sm.upf
Dy 162.50 Dy.upf
CELL_PARAMETERS angstrom
-1.4757 -2.2481 2.3541
-5.0598 -4.8837 -7.8354
7.2139 -4.9872 -2.9536
ATOMIC_POSITIONS angstrom
Th -0.7379 -1.1241 1.1771
Sm 0.2688 -7.8179 -4.5843
Sm 0.4097 -4.3011 -3.8506
Sm -2.1153 -5.4824 -6.5615
Sm 2.7938 -6.6366 -1.8734
Sm -3.2677 -3.5659 -2.7407
Dy 1.2728 -10.3594 -6.3820
Dy -0.5943 -1.7596 -2.0529
Dy 1.1828 -3.7445 -0.1214
Dy -0.5043 -8.3745 -8.3135
! N(E_F) ... 1.50 states/eV per atom
! Calculated volume ... 33.9 Å³/atom
! Magnetic moment ... 0.000 μB/cell

---

Most stable: (P)

---

(P)
! Sm2Dy8Th GGA-PBE optimized geometry; values from VASP
&SYSTEM
  ibrav = 0, nat = 11, ntyp = 3
/
ATOMIC_SPECIES
Dy 162.50 Dy.upf
Sm 150.36 Sm.upf
Th 232.04 Th.upf
CELL_PARAMETERS angstrom
4.8728 0.0000 -1.2977
-0.5212 7.7020 -1.9572
-0.0994 -0.0707 9.4242
ATOMIC_POSITIONS angstrom
Dy 1.6320 4.1647 6.1282
Dy 1.4477 0.6688 5.4360
Dy 3.7154 6.2797 4.1537
Dy 0.5368 1.3516 2.0156
Dy 2.6201 3.4666 0.0411
Dy 2.8045 6.9625 0.7333
Dy -0.1745 5.6326 -0.6553
Dy 4.4267 1.9987 6.8246
Sm 3.5177 2.7632 3.4115
Sm 0.7344 4.8681 2.7577
Th 2.4364 0.0000 -0.6488
! N(E_F) ... 1.47 states/eV per atom
! Calculated volume ... 32.0 Å³/atom
! Magnetic moment ... 0.000 μB/cell

---

(Q)
! Sm2Dy8Th GGA-PBE optimized geometry; values from VASP
&SYSTEM
  ibrav = 0, nat = 11, ntyp = 3
/
ATOMIC_SPECIES
Dy 162.50 Dy.upf
Th 232.04 Th.upf
Sm 150.36 Sm.upf
CELL_PARAMETERS angstrom
5.5291 -0.6266 -0.4377
0.7052 9.8127 2.6776
0.7052 5.8910 8.2918
ATOMIC_POSITIONS angstrom
Dy 2.0537 8.4649 5.9129
Dy 5.4363 12.3351 8.6164
Dy 4.9086 10.3603 5.2416
Dy 4.8858 6.6123 4.6188
Dy 2.0309 4.7168 5.2901
Dy 1.5032 2.7420 1.9154
Dy 4.9086 8.4869 7.9236
Dy 2.0309 6.5902 2.6081
Th 0.0000 0.0000 0.0000
Sm 2.4109 11.1145 7.7637
Sm 4.5287 3.9627 2.7680
! N(E_F) ... 1.63 states/eV per atom
! Calculated volume ... 33.3 Å³/atom
! Magnetic moment ... 0.000 μB/cell

---

Most stable: (P)

---

(P)
! SmDy2Th2 GGA-PBE optimized geometry; values from VASP
&SYSTEM
  ibrav = 0, nat = 10, ntyp = 3
/
ATOMIC_SPECIES
Th 232.04 Th.upf
Dy 162.50 Dy.upf
Sm 150.36 Sm.upf
CELL_PARAMETERS angstrom
7.9782 -3.1632 0.0000
-6.0563 6.0810 0.0000
-0.9609 -1.4589 11.5978
ATOMIC_POSITIONS angstrom
Th 1.9945 -0.7908 8.6984
Th -0.5532 2.9791 2.8995
Th -1.9945 0.7908 8.6984
Th 2.4750 -0.0614 2.8995
Dy -5.4107 4.6098 5.7989
Dy 5.5956 -1.5939 0.0000
Dy -3.6738 4.5117 0.0000
Dy -0.6456 1.4712 5.7989
Sm 0.9609 1.4589 0.0000
Sm 3.9891 -1.5816 5.7989
! N(E_F) ... 1.64 states/eV per atom
! Calculated volume ... 34.0 Å³/atom
! Magnetic moment ... 0.000 μB/cell

---

(Q)
! SmDy2Th2 GGA-PBE optimized geometry; values from VASP
&SYSTEM
  ibrav = 0, nat = 5, ntyp = 3
/
ATOMIC_SPECIES
Th 232.04 Th.upf
Dy 162.50 Dy.upf
Sm 150.36 Sm.upf
CELL_PARAMETERS angstrom
3.5545 0.0000 0.4399
1.7500 3.0938 0.4399
-0.0116 -0.0067 14.6735
ATOMIC_POSITIONS angstrom
Th 4.2412 2.4736 9.4718
Th 1.0518 0.6135 6.0815
Dy 3.1743 1.8514 3.5123
Dy 2.1187 1.2357 12.0410
Sm 0.0000 0.0000 0.0000
! N(E_F) ... 1.30 states/eV per atom
! Calculated volume ... 32.3 Å³/atom
! Magnetic moment ... 0.000 μB/cell

---

Most stable: (Q)

---

(P)
! SmDy6Th2 GGA-PBE optimized geometry; values from VASP
&SYSTEM
  ibrav = 0, nat = 9, ntyp = 3
/
ATOMIC_SPECIES
Dy 162.50 Dy.upf
Th 232.04 Th.upf
Sm 150.36 Sm.upf
CELL_PARAMETERS angstrom
3.5693 0.0000 0.0000
-1.7847 3.0911 0.0000
0.0000 0.0000 26.3796
ATOMIC_POSITIONS angstrom
Dy 0.0000 2.0608 14.8552
Dy 0.0000 2.0608 5.7563
Dy 0.0000 2.0608 11.5244
Dy 0.0000 2.0608 20.6233
Dy 1.7847 1.0304 23.4567
Dy 1.7847 1.0304 2.9230
Th 1.7847 1.0304 8.7007
Th 1.7847 1.0304 17.6790
Sm 0.0000 2.0608 0.0000
! N(E_F) ... 2.03 states/eV per atom
! Calculated volume ... 32.3 Å³/atom
! Magnetic moment ... 0.000 μB/cell

---

(Q)
! SmDy6Th2 GGA-PBE optimized geometry; values from VASP
&SYSTEM
  ibrav = 0, nat = 9, ntyp = 3
/
ATOMIC_SPECIES
Dy 162.50 Dy.upf
Sm 150.36 Sm.upf
Th 232.04 Th.upf
CELL_PARAMETERS angstrom
3.1281 0.5265 1.4460
2.9927 9.3456 6.7909
2.1291 0.9930 11.7002
ATOMIC_POSITIONS angstrom
Dy 5.7295 4.5605 15.1742
Dy 4.2675 6.8114 9.1582
Dy 2.5204 6.3047 4.7630
Dy 1.9462 0.7510 8.0272
Dy 6.3037 10.1142 11.9100
Dy 3.9824 4.0537 10.7790
Sm 0.0000 0.0000 0.0000
Th 3.7940 3.7964 7.1266
Th 4.4560 7.0687 12.8106
! N(E_F) ... 1.33 states/eV per atom
! Calculated volume ... 31.7 Å³/atom
! Magnetic moment ... 0.000 μB/cell

---

Most stable: (Q)

---

(P)
! SmDy2Ti GGA-PBE optimized geometry; values from VASP
&SYSTEM
  ibrav = 0, nat = 4, ntyp = 3
/
ATOMIC_SPECIES
Dy 162.50 Dy.upf
Ti 47.87 Ti.upf
Sm 150.36 Sm.upf
CELL_PARAMETERS angstrom
3.3665 0.0000 0.0000
1.6833 2.9155 0.0000
1.6833 0.9718 11.7949
ATOMIC_POSITIONS angstrom
Dy 1.6833 0.9718 8.8579
Dy 5.0498 2.9155 2.9370
Ti 0.0000 0.0000 0.0000
Sm 3.3665 1.9437 5.8975
! N(E_F) ... 1.40 states/eV per atom
! Calculated volume ... 28.9 Å³/atom
! Magnetic moment ... 1.912 μB/cell

---

(Q)
! SmDy2Ti GGA-PBE optimized geometry; values from VASP
&SYSTEM
  ibrav = 0, nat = 4, ntyp = 3
/
ATOMIC_SPECIES
Dy 162.50 Dy.upf
Ti 47.87 Ti.upf
Sm 150.36 Sm.upf
CELL_PARAMETERS angstrom
3.3995 0.0000 0.0000
0.0000 3.3995 0.0000
0.0000 0.0000 9.7057
ATOMIC_POSITIONS angstrom
Dy 0.0000 0.0000 7.6167
Dy 0.0000 0.0000 2.0890
Ti 1.6997 1.6997 0.0000
Sm 1.6997 1.6997 4.8529
! N(E_F) ... 1.60 states/eV per atom
! Calculated volume ... 28.0 Å³/atom
! Magnetic moment ... 0.000 μB/cell

---

Most stable: (Q)